Record 1
VASP calculation (PBE) on LaTb2PmTm2 after structural relaxation.

Lattice parameters (Å, degrees): 6.9861 16.0792 3.5629 90.00 90.00 90.00
Fractional coordinates of all 12 atoms:
La (0.0000, 0.0000, 0.0000)
La (0.5000, 0.5000, 0.5000)
Tb (0.2488, 0.3402, 0.0000)
Tb (0.2512, 0.8402, 0.5000)
Tb (0.7488, 0.1598, 0.5000)
Tb (0.7512, 0.6597, 0.0000)
Pm (0.0000, 0.5000, 0.5000)
Pm (0.5000, 0.0000, 0.0000)
Tm (0.2500, 0.1566, 0.5000)
Tm (0.2500, 0.6566, 0.0000)
Tm (0.7500, 0.3434, 0.0000)
Tm (0.7500, 0.8434, 0.5000)

Output
Spin magnetization = 0.0 μB/cell
ΔH_f (0 K) = 175 meV/atom
V = 33.35 A^3/atom


Record 2
VASP calculation (PBE) on U2Tl2RhSe6 after structural relaxation.

Lattice parameters (Å, degrees): 6.6945 6.6945 8.4626 98.25 98.25 119.73
Fractional coordinates of all 11 atoms:
U (0.1687, 0.8313, 0.0000)
U (0.8313, 0.1687, 0.0000)
Tl (0.3258, 0.6742, 0.5000)
Tl (0.6742, 0.3258, 0.5000)
Rh (0.5000, 0.5000, 0.0000)
Se (0.1125, 0.4244, 0.7979)
Se (0.2597, 0.2597, 0.1975)
Se (0.4244, 0.1125, 0.7979)
Se (0.5756, 0.8875, 0.2021)
Se (0.7403, 0.7403, 0.8025)
Se (0.8875, 0.5756, 0.2021)

Output
Spin magnetization = 5.1 μB/cell
Formation energy from raw total energies = -758 meV/atom
V = 28.69 A^3/atom


Record 3
VASP calculation (PBE) on ZnIrSe4 after structural relaxation.

Lattice parameters (Å, degrees): 5.5503 5.5503 5.5503 60.00 60.00 60.00
Fractional coordinates of all 6 atoms:
Zn (0.0000, 0.0000, 0.0000)
Ir (0.7500, 0.7500, 0.7500)
Se (0.3755, 0.3755, 0.3755)
Se (0.3755, 0.3755, 0.8736)
Se (0.3755, 0.8736, 0.3755)
Se (0.8736, 0.3755, 0.3755)

Output
Spin magnetization = 0.0 μB/cell
Formation energy from raw total energies = 1065 meV/atom
V = 20.15 A^3/atom


| no. | mass density (kg/m3) |
| --- | --- |
| 1 | 7797 |
| 2 | 7689 |
| 3 | 7876 |